Record 1
The following is a DFT calculation (PBE-GGA) of a geometry-optimized LiPrNdFe structure.

Uncorrected energy ... -0.3520 Ry/atom
Fermi-level density of states ... 19.91 states/eV/cell
E_form ... 0.1916 eV per atom
ρ ... 6.252 g/cm³

CIF file:
```
data_LiPrNdFe
_chemical_formula_sum 'Li4 Pr4 Nd4 Fe4'
_space_group_name_H-M_alt 'F -4 3 m'
_space_group_IT_number 216
_space_group_name_Hall 'F -4 2 3'
_cell_length_a 7.1768
_cell_length_b 7.1768
_cell_length_c 7.1768
_cell_angle_alpha 90.00
_cell_angle_beta 90.00
_cell_angle_gamma 90.00
loop_
_atom_site_label
_atom_site_fract_x
_atom_site_fract_y
_atom_site_fract_z
Li1 0.0000 0.0000 0.0000
Pr1 0.2500 0.2500 0.2500
Nd1 0.2500 0.2500 0.7500
Fe1 0.0000 0.0000 0.5000
```



Record 2
The following is a DFT calculation (PBE-GGA) of a geometry-optimized LiTbNdFe structure.

Uncorrected energy ... -0.3528 Ry/atom
Fermi-level density of states ... 18.93 states/eV/cell
E_form ... 0.1430 eV per atom
ρ ... 7.020 g/cm³

CIF file:
```
data_LiTbNdFe
_chemical_formula_sum 'Li4 Tb4 Nd4 Fe4'
_space_group_name_H-M_alt 'F -4 3 m'
_space_group_IT_number 216
_space_group_name_Hall 'F -4 2 3'
_cell_length_a 7.0220
_cell_length_b 7.0220
_cell_length_c 7.0220
_cell_angle_alpha 90.00
_cell_angle_beta 90.00
_cell_angle_gamma 90.00
loop_
_atom_site_label
_atom_site_fract_x
_atom_site_fract_y
_atom_site_fract_z
Li1 0.0000 0.0000 0.0000
Tb1 0.2500 0.2500 0.7500
Nd1 0.2500 0.2500 0.2500
Fe1 0.0000 0.0000 0.5000
```